Zn2AgP, optimized geometry, DFT PBE; DFT formation energy = 0.25 eV per atom; mass density = 6.76 g/cm³
1.0
0.000 3.212 3.212
3.212 0.000 3.212
3.212 3.212 0.000
Zn Ag P
2 1 1
direct
0.000 0.000 0.000 Zn
0.250 0.250 0.250 Zn
0.500 0.500 0.500 Ag
0.750 0.750 0.750 P

=====

HoPdO2, optimized geometry, DFT PBE; mass density = 7.88 g/cm³; VASP energy = -28.37 eV per cell
1.0
1.731 1.000 6.157
-1.731 1.000 6.157
0.000 -1.999 6.157
Ho Pd O
1 1 2
direct
0.000 0.000 0.000 Ho
0.500 0.500 0.500 Pd
0.390 0.390 0.390 O
0.610 0.610 0.610 O

=====

RePPb, optimized geometry, DFT PBE; DFT formation energy = 0.08 eV per atom; mass density = 10.82 g/cm³
1.0
3.164 0.000 0.000
-0.012 4.975 0.000
-1.482 -1.654 8.277
Re P Pb
2 2 2
direct
0.247 0.254 0.491 Re
0.753 0.746 0.509 Re
0.161 0.821 0.312 P
0.839 0.179 0.688 P
0.397 0.690 0.816 Pb
0.603 0.310 0.184 Pb